VASP calculation (PBE) on a geometry-optimized YNiMo2 structure.

Cell lengths 4.8499, 3.2813, 4.6333 Å; angles 78.69, 90.00, 90.00 degrees
Sites, in units of the cell vectors:
Mo: 0.0000 0.0787 0.0341
Mo: 0.0000 0.4213 0.4659
Ni: 0.5000 0.2500 0.2500
Y: 0.5000 0.7500 0.7500

## Properties
energy relative to the elements: 34.7 kJ per mole of atoms
energy above the lowest structure with this stoichiometry: 242 meV per atom
DOS(E_F): 5.85 states/eV per cell
magnetic moment: 0.000 Bohr magnetons per cell

VASP calculation (PBE) on a geometry-optimized SmHo8Tm4 structure.

Cell lengths 7.2177, 7.2177, 9.9036 Å; angles 90.00, 111.37, 120.00 degrees
Sites, in units of the cell vectors:
Sm: 0.0000 0.5000 0.5000
Ho: 0.5648 0.7824 0.3473
Ho: 0.4352 0.2176 0.6527
Ho: 0.4988 0.2494 0.3024
Ho: 0.9470 0.1964 0.6976
Ho: 0.5012 0.7506 0.6976
Ho: 0.9470 0.7506 0.6976
Ho: 0.0530 0.2494 0.3024
Ho: 0.0530 0.8036 0.3024
Tm: 0.0000 0.0000 0.0000
Tm: 0.0000 0.5000 0.0000
Tm: 0.5000 0.5000 0.0000
Tm: 0.5000 0.0000 0.0000

## Properties
energy relative to the elements: 20.5 kJ per mole of atoms
DOS(E_F): 15.39 states/eV per cell
magnetic moment: 0.000 Bohr magnetons per cell

VASP calculation (PBE) on a geometry-optimized Cs2TiAgF6 structure.

Cell lengths 6.4146, 6.4146, 6.3970 Å; angles 59.91, 59.91, 90.00 degrees
Last column: magnetic moment on the atom in μB.
Sites, in units of the cell vectors:
Cs: 0.7500 0.2500 0.5000  0.00
Cs: 0.2500 0.7500 0.5000  0.00
F: 0.2739 0.2739 0.4522  0.01
F: 0.7261 0.7261 0.5478  0.01
F: 0.2807 0.2807 0.0000  0.00
F: 0.7193 0.7193 0.0000  0.00
F: 0.7193 0.2807 0.0000  0.00
F: 0.2807 0.7193 0.0000  0.00
Ag: 0.0000 0.0000 0.0000  0.00
Ti: 0.5000 0.5000 0.0000  0.91

## Properties
DOS(E_F): 0.61 states/eV per cell
final energy: -5.06 eV per atom
magnetic moment: 1.000 Bohr magnetons per cell

VASP calculation (PBE) on a geometry-optimized Na3Ti5O12 structure.

Cell lengths 10.9659, 10.9659, 10.9659 Å; angles 109.47, 109.47, 109.47 degrees
Last column: magnetic moment on the atom in μB.
Sites, in units of the cell vectors:
Na: 0.7500 0.3750 0.1250  0.00
Na: 0.8750 0.7500 0.1250  0.00
Na: 0.3750 0.7500 0.6250  0.00
Na: 0.2500 0.1250 0.3750  0.00
Na: 0.8750 0.1250 0.2500  0.00
Na: 0.3750 0.6250 0.2500  0.00
Na: 0.6250 0.3750 0.7500  0.00
Na: 0.1250 0.8750 0.7500  0.00
Na: 0.7500 0.8750 0.6250  0.00
Na: 0.6250 0.2500 0.3750  0.00
Na: 0.1250 0.2500 0.8750  0.00
Na: 0.2500 0.6250 0.8750  0.00
Ti: 0.1250 0.3750 0.2500  -0.02
Ti: 0.0000 0.5000 0.0000  -0.02
Ti: 0.0000 0.0000 0.0000  -0.02
Ti: 0.3750 0.2500 0.1250  -0.02
Ti: 0.5000 0.0000 0.5000  -0.02
Ti: 0.5000 0.5000 0.0000  -0.02
Ti: 0.1250 0.7500 0.3750  -0.02
Ti: 0.7500 0.1250 0.8750  -0.02
Ti: 0.7500 0.6250 0.3750  -0.02
Ti: 0.3750 0.1250 0.7500  -0.02
Ti: 0.6250 0.8750 0.2500  -0.02
Ti: 0.5000 0.5000 0.5000  -0.02
Ti: 0.5000 0.0000 0.0000  -0.02
Ti: 0.0000 0.0000 0.5000  -0.02
Ti: 0.2500 0.3750 0.6250  -0.02
Ti: 0.2500 0.8750 0.1250  -0.02
Ti: 0.0000 0.5000 0.5000  -0.02
Ti: 0.8750 0.2500 0.6250  -0.02
Ti: 0.6250 0.7500 0.8750  -0.02
Ti: 0.8750 0.6250 0.7500  -0.02
O: 0.6895 0.1105 0.0090  0.08
O: 0.3195 0.5090 0.3985  0.08
O: 0.9910 0.3895 0.3105  0.08
O: 0.5090 0.1895 0.1105  0.08
O: 0.5789 0.6895 0.6805  0.08
O: 0.9910 0.6015 0.1805  0.08
O: 0.3195 0.8105 0.4211  0.08
O: 0.1015 0.9211 0.1105  0.08
O: 0.6015 0.9910 0.6805  0.08
O: 0.6895 0.5789 0.1805  0.08
O: 0.8105 0.4910 0.3895  0.08
O: 0.8195 0.8985 0.0090  0.08
O: 0.1105 0.6895 0.5090  0.08
O: 0.3895 0.3985 0.0789  0.08
O: 0.0789 0.8985 0.3895  0.08
O: 0.4211 0.1105 0.6015  0.08
O: 0.0789 0.1805 0.1895  0.08
O: 0.4910 0.6805 0.1015  0.08
O: 0.8195 0.9211 0.3105  0.08
O: 0.1105 0.4211 0.1015  0.08
O: 0.3895 0.9910 0.8105  0.08
O: 0.6015 0.6105 0.4211  0.08
O: 0.8985 0.8195 0.5090  0.08
O: 0.8105 0.3195 0.9211  0.08
O: 0.3985 0.3895 0.5789  0.08
O: 0.1015 0.1805 0.4910  0.08
O: 0.1895 0.6805 0.0789  0.08
O: 0.1805 0.0789 0.6895  0.08
O: 0.6105 0.0090 0.1895  0.08
O: 0.8895 0.5789 0.8985  0.08
O: 0.5090 0.3195 0.8985  0.08
O: 0.5789 0.8895 0.3985  0.08
O: 0.9211 0.8195 0.8105  0.08
O: 0.9211 0.1015 0.6105  0.08
O: 0.8895 0.3105 0.4910  0.08
O: 0.1805 0.1015 0.9910  0.08
O: 0.6105 0.6015 0.9211  0.08
O: 0.3985 0.0090 0.3195  0.08
O: 0.3105 0.4211 0.8195  0.08
O: 0.1895 0.5090 0.6105  0.08
O: 0.8985 0.0789 0.8895  0.08
O: 0.6805 0.1895 0.5789  0.08
O: 0.4910 0.8105 0.8895  0.08
O: 0.0090 0.3985 0.8195  0.08
O: 0.4211 0.3105 0.3195  0.08
O: 0.0090 0.6105 0.6895  0.08
O: 0.6805 0.4910 0.6015  0.08
O: 0.3105 0.8895 0.9910  0.08

## Properties
DOS(E_F): 63.97 states/eV per cell
final energy: -7.79 eV per atom
magnetic moment: 4.219 Bohr magnetons per cell

VASP calculation (PBE) on a geometry-optimized K4Ce3HgSe8 structure.

Cell lengths 8.6540, 9.1524, 8.6596 Å; angles 118.23, 119.98, 90.00 degrees
Last column: magnetic moment on the atom in μB.
Sites, in units of the cell vectors:
K: 0.5000 0.0000 0.0000  0.00
K: 0.5000 0.0000 0.5000  0.00
K: 0.0000 0.0000 0.0000  0.00
K: 0.0000 0.0000 0.5000  0.00
Ce: 0.5000 0.5000 0.0000  0.67
Ce: 0.5000 0.5000 0.5000  0.67
Ce: 0.0000 0.5000 0.5000  0.67
Hg: 0.0000 0.5000 0.0000  0.01
Se: 0.2392 0.7075 0.9682  -0.02
Se: 0.2399 0.7080 0.4798  -0.02
Se: 0.2638 0.2911 0.5275  -0.02
Se: 0.7290 0.7075 0.9682  -0.02
Se: 0.2710 0.2925 0.0318  -0.02
Se: 0.7362 0.7089 0.4725  -0.02
Se: 0.7601 0.2920 0.5202  -0.02
Se: 0.7608 0.2925 0.0318  -0.02

## Properties
DOS(E_F): 13.42 states/eV per cell
final energy: -4.57 eV per atom
magnetic moment: 1.918 Bohr magnetons per cell

VASP calculation (PBE) on a geometry-optimized SrLi2Ru structure.

Cell lengths 4.3125, 4.3222, 4.4149 Å; angles 90.00, 90.00, 90.00 degrees
Last column: magnetic moment on the atom in μB.
Sites, in units of the cell vectors:
Li: 0.0000 0.0000 0.0000  -0.01
Li: 0.5000 0.5000 0.0000  -0.01
Ru: 0.5000 0.0000 0.5000  0.84
Sr: 0.0000 0.5000 0.5000  -0.01

## Properties
energy relative to the elements: 46.4 kJ per mole of atoms
energy above the lowest structure with this stoichiometry: 115 meV per atom
DOS(E_F): 3.23 states/eV per cell
magnetic moment: 0.767 Bohr magnetons per cell

VASP calculation (PBE) on a geometry-optimized YTm2Br structure.

Cell lengths 3.4630, 3.4630, 11.6081 Å; angles 81.42, 81.42, 60.00 degrees
Last column: magnetic moment on the atom in μB.
Sites, in units of the cell vectors:
Y: 0.0000 0.0000 0.0000  0.37
Tm: 0.0980 0.0980 0.7060  0.21
Tm: 0.9020 0.9020 0.2940  0.21
Br: 0.5000 0.5000 0.5000  0.00

## Properties
DOS(E_F): 5.48 states/eV per cell
final energy: -4.44 eV per atom
magnetic moment: 1.276 Bohr magnetons per cell

VASP calculation (PBE) on a geometry-optimized HoLuHfTh structure.

Cell lengths 5.4239, 5.4239, 5.4239 Å; angles 60.00, 60.00, 60.00 degrees
Sites, in units of the cell vectors:
Lu: 0.7500 0.7500 0.7500
Hf: 0.2500 0.2500 0.2500
Ho: 0.0000 0.0000 0.0000
Th: 0.5000 0.5000 0.5000

## Properties
energy relative to the elements: 17.4 kJ per mole of atoms
DOS(E_F): 6.12 states/eV per cell
magnetic moment: 0.001 Bohr magnetons per cell

VASP calculation (PBE) on a geometry-optimized Ac6OsRhAu2 structure.

Cell lengths 7.8115, 7.8105, 8.2368 Å; angles 61.70, 61.71, 60.02 degrees
Sites, in units of the cell vectors:
Ac: 0.5854 0.2018 0.2589
Ac: 0.2018 0.9539 0.2591
Ac: 0.9539 0.5851 0.2591
Ac: 0.4475 0.6992 0.7621
Ac: 0.6990 0.0917 0.7618
Ac: 0.0915 0.4475 0.7619
Os: 0.3233 0.3231 0.0304
Rh: 0.8238 0.8239 0.5287
Au: 0.5177 0.5181 0.4463
Au: 0.0177 0.0175 0.9470

## Properties
energy relative to the elements: -44.2 kJ per mole of atoms
DOS(E_F): 8.35 states/eV per cell
magnetic moment: 0.000 Bohr magnetons per cell

VASP calculation (PBE) on a geometry-optimized LaNi2Pt4 structure.

Cell lengths 5.1938, 5.4337, 5.4337 Å; angles 76.61, 61.45, 61.45 degrees
Last column: magnetic moment on the atom in μB.
Sites, in units of the cell vectors:
La: 0.0000 0.0000 0.0000  -0.03
Ni: 0.7506 0.4998 0.4998  0.62
Ni: 0.2494 0.5002 0.5002  0.62
Pt: 0.7011 0.5972 0.0005  0.15
Pt: 0.2989 0.4028 0.9995  0.15
Pt: 0.7011 0.0005 0.5972  0.15
Pt: 0.2989 0.9995 0.4028  0.15

## Properties
energy relative to the elements: -41.7 kJ per mole of atoms
DOS(E_F): 10.29 states/eV per cell
magnetic moment: 1.717 Bohr magnetons per cell

VASP calculation (PBE) on a geometry-optimized CaMg2SnRh structure.

Cell lengths 4.9781, 4.9781, 5.1089 Å; angles 90.00, 90.00, 90.00 degrees
Sites, in units of the cell vectors:
Mg: 0.0000 0.5000 0.0000
Mg: 0.5000 0.0000 0.0000
Ca: 0.5000 0.5000 0.5000
Rh: 0.0000 0.0000 0.0000
Sn: 0.0000 0.0000 0.5000

## Properties
energy relative to the elements: -32.1 kJ per mole of atoms
DOS(E_F): 4.30 states/eV per cell
magnetic moment: 0.001 Bohr magnetons per cell

VASP calculation (PBE) on a geometry-optimized Dy3MgCd structure.

Cell lengths 5.1969, 5.1958, 10.5963 Å; angles 90.00, 75.80, 90.00 degrees
Sites, in units of the cell vectors:
Dy: 0.7635 0.2500 0.1213
Dy: 0.3818 0.2500 0.8848
Dy: 0.5737 0.2500 0.5009
Dy: 0.2666 0.7500 0.1152
Dy: 0.8848 0.7500 0.8787
Dy: 0.0746 0.7500 0.4991
Mg: 0.4784 0.7500 0.6916
Mg: 0.1700 0.2500 0.3084
Cd: 0.6666 0.7500 0.3151
Cd: 0.9817 0.2500 0.6849

## Properties
energy relative to the elements: -13.8 kJ per mole of atoms
DOS(E_F): 12.44 states/eV per cell
magnetic moment: 0.195 Bohr magnetons per cell

VASP calculation (PBE) on a geometry-optimized MoW8 structure.

Cell lengths 6.1352, 6.1352, 6.1352 Å; angles 97.99, 97.99, 136.22 degrees
Sites, in units of the cell vectors:
Mo: 0.0000 0.0000 0.0000
W: 0.6669 0.3331 0.0000
W: 0.3331 0.6669 0.0000
W: 0.3328 0.0000 0.3328
W: 0.6669 0.6669 0.3337
W: 0.0000 0.3328 0.3328
W: 0.3331 0.3331 0.6663
W: 0.6672 0.0000 0.6672
W: 0.0000 0.6672 0.6672

## Properties
energy relative to the elements: 35.3 kJ per mole of atoms
energy above the lowest structure with this stoichiometry: 376 meV per atom
DOS(E_F): 5.46 states/eV per cell
magnetic moment: 0.000 Bohr magnetons per cell

VASP calculation (PBE) on a geometry-optimized IrAuCl2F structure.

Cell lengths 5.1775, 3.9527, 5.1775 Å; angles 90.00, 90.00, 90.00 degrees
Last column: magnetic moment on the atom in μB.
Sites, in units of the cell vectors:
F: 0.0000 0.0000 0.0000  0.06
Ir: 0.5000 0.5000 0.5000  2.17
Au: 0.0000 0.5000 0.0000  0.19
Cl: 0.0000 0.0000 0.5000  0.20
Cl: 0.5000 0.0000 0.0000  0.18

## Properties
DOS(E_F): 7.68 states/eV per cell
final energy: -2.52 eV per atom
magnetic moment: 3.006 Bohr magnetons per cell

VASP calculation (PBE) on a geometry-optimized TbHfCr2S6 structure.

Cell lengths 6.3886, 6.3886, 6.8693 Å; angles 62.28, 62.27, 60.01 degrees
Last column: magnetic moment on the atom in μB.
Sites, in units of the cell vectors:
Tb: 0.8120 0.8119 0.5643  0.05
Hf: 0.3205 0.3204 0.0389  0.11
Cr: 0.5106 0.5107 0.4679  3.28
Cr: 0.0059 0.0059 0.9820  3.12
S: 0.6122 0.2451 0.2381  -0.04
S: 0.2453 0.9046 0.2379  -0.04
S: 0.9046 0.6122 0.2380  -0.04
S: 0.3675 0.7403 0.7493  -0.04
S: 0.7403 0.1429 0.7493  -0.04
S: 0.1428 0.3676 0.7494  -0.04

## Properties
DOS(E_F): 4.25 states/eV per cell
final energy: -7.05 eV per atom
magnetic moment: 7.002 Bohr magnetons per cell

VASP calculation (PBE) on a geometry-optimized AgBiN2O structure.

Cell lengths 4.4014, 4.4014, 4.2452 Å; angles 90.00, 90.00, 90.00 degrees
Last column: magnetic moment on the atom in μB.
Sites, in units of the cell vectors:
O: 0.0000 0.0000 0.5000  0.15
Bi: 0.0000 0.0000 0.0000  -0.07
Ag: 0.5000 0.5000 0.5000  0.09
N: 0.0000 0.5000 0.0000  0.73
N: 0.5000 0.0000 0.0000  0.73

## Properties
DOS(E_F): 1.59 states/eV per cell
final energy: -4.35 eV per atom
magnetic moment: 2.277 Bohr magnetons per cell

VASP calculation (PBE) on a geometry-optimized Ho4PuIn structure.

Cell lengths 8.4433, 8.4433, 8.4433 Å; angles 99.48, 99.48, 132.12 degrees
Last column: magnetic moment on the atom in μB.
Sites, in units of the cell vectors:
Ho: 0.2590 0.9886 0.7296  -0.16
Ho: 0.7436 0.4802 0.7366  -0.39
Ho: 0.7386 0.5090 0.2296  -0.16
Ho: 0.2302 0.9936 0.2366  -0.39
Ho: 0.2794 0.5090 0.7704  -0.16
Ho: 0.7571 0.9936 0.7634  -0.39
Ho: 0.7436 0.0071 0.2634  -0.39
Ho: 0.2590 0.5294 0.2704  -0.16
Pu: 0.7485 0.7485 0.0000  -5.75
Pu: 0.4985 0.9985 0.5000  -5.75
In: 0.2462 0.2462 0.0000  0.02
In: 0.9962 0.4962 0.5000  0.02

## Properties
energy relative to the elements: 45.1 kJ per mole of atoms
DOS(E_F): 18.27 states/eV per cell
magnetic moment: 14.112 Bohr magnetons per cell

VASP calculation (PBE) on a geometry-optimized CeSiPt2 structure.

Cell lengths 9.5163, 9.5163, 4.1431 Å; angles 90.00, 90.00, 155.65 degrees
Last column: magnetic moment on the atom in μB.
Sites, in units of the cell vectors:
Ce: 0.6010 0.3990 0.2500  0.53
Ce: 0.3990 0.6010 0.7500  0.53
Si: 0.8237 0.1763 0.2500  0.00
Si: 0.1763 0.8237 0.7500  0.00
Pt: 0.9510 0.0490 0.2500  -0.01
Pt: 0.0490 0.9510 0.7500  -0.01
Pt: 0.2504 0.7496 0.2500  0.01
Pt: 0.7496 0.2504 0.7500  0.01

## Properties
DOS(E_F): 13.26 states/eV per cell
final energy: -6.96 eV per atom
magnetic moment: 1.304 Bohr magnetons per cell

VASP calculation (PBE) on a geometry-optimized ZrCr2Pt2 structure.

Cell lengths 7.4841, 7.4841, 2.7348 Å; angles 90.00, 90.00, 90.00 degrees
Sites, in units of the cell vectors:
Cr: 0.3903 0.8903 0.0000
Cr: 0.8903 0.6097 0.0000
Cr: 0.6097 0.1097 0.0000
Cr: 0.1097 0.3903 0.0000
Zr: 0.0000 0.0000 0.0000
Zr: 0.5000 0.5000 0.0000
Pt: 0.1812 0.6812 0.5000
Pt: 0.6812 0.8188 0.5000
Pt: 0.8188 0.3188 0.5000
Pt: 0.3188 0.1812 0.5000

## Properties
energy relative to the elements: -25.3 kJ per mole of atoms
energy above the lowest structure with this stoichiometry: 0 meV per atom
DOS(E_F): 10.34 states/eV per cell
magnetic moment: 0.004 Bohr magnetons per cell

VASP calculation (PBE) on a geometry-optimized YMn3As structure.

Cell lengths 4.9104, 4.9104, 4.9104 Å; angles 90.00, 90.00, 90.00 degrees
Last column: magnetic moment on the atom in μB.
Sites, in units of the cell vectors:
Y: 0.0000 0.0000 0.0000  -0.50
As: 0.5000 0.5000 0.5000  -0.08
Mn: 0.0000 0.5000 0.0000  3.43
Mn: 0.0000 0.0000 0.5000  3.12
Mn: 0.5000 0.0000 0.0000  3.92

## Properties
energy relative to the elements: 159.4 kJ per mole of atoms
energy above the lowest structure with this stoichiometry: 1434 meV per atom
DOS(E_F): 3.66 states/eV per cell
magnetic moment: 10.385 Bohr magnetons per cell